# 1
Density functional theory data (GGA-PBE) for crystalline BaGe5As4 at its relaxed geometry.

Computed properties:
Energy relative to the elements, eV/atom: -0.106

Cell: 7.015 10.635 6.824 Å, 90.00 90.00 90.00°
Positions (direct):
Ba 0.250 0.250 0.052
Ba 0.750 0.750 0.948
Ge 0.047 0.526 0.324
Ge 0.047 0.974 0.324
Ge 0.250 0.750 0.638
Ge 0.453 0.526 0.324
Ge 0.453 0.974 0.324
Ge 0.547 0.026 0.676
Ge 0.547 0.474 0.676
Ge 0.750 0.250 0.362
Ge 0.953 0.026 0.676
Ge 0.953 0.474 0.676
As 0.048 0.250 0.572
As 0.250 0.561 0.860
As 0.250 0.939 0.860
As 0.452 0.250 0.572
As 0.548 0.750 0.428
As 0.750 0.061 0.140
As 0.750 0.439 0.140
As 0.952 0.750 0.428


# 2
Density functional theory data (GGA-PBE) for crystalline Mn8W at its relaxed geometry.

Computed properties:
Energy relative to the elements, eV/atom: 0.107

Cell: 5.669 5.669 5.669 Å, 95.62 95.62 143.54°
Positions (direct):
Mn 0.000 0.344 0.344
Mn 0.000 0.656 0.656
Mn 0.321 0.321 0.643
Mn 0.321 0.679 0.000
Mn 0.344 0.000 0.344
Mn 0.656 0.000 0.656
Mn 0.679 0.321 0.000
Mn 0.679 0.679 0.357
W 0.000 0.000 0.000


# 3
Density functional theory data (GGA-PBE) for crystalline Hg4Te3Br2 at its relaxed geometry.

Computed properties:
E_form (uncorrected), eV/atom: -0.235

Cell: 9.469 9.469 7.691 Å, 101.26 101.26 99.74°
Positions (direct):
Hg 0.093 0.621 0.796
Hg 0.201 0.243 0.874
Hg 0.243 0.201 0.374
Hg 0.379 0.907 0.704
Hg 0.621 0.093 0.296
Hg 0.757 0.799 0.626
Hg 0.799 0.757 0.126
Hg 0.907 0.379 0.204
Te 0.196 0.430 0.196
Te 0.369 0.631 0.750
Te 0.430 0.196 0.696
Te 0.570 0.804 0.304
Te 0.631 0.369 0.250
Te 0.804 0.570 0.804
Br 0.019 0.791 0.444
Br 0.209 0.981 0.056
Br 0.791 0.019 0.944
Br 0.981 0.209 0.556


# 4
Density functional theory data (GGA-PBE) for crystalline CaSm2Tl at its relaxed geometry.

Computed properties:
Energy above the most stable polymorph in this dataset, eV per atom: 0.0753
Energy relative to the elements, eV/atom: -0.092

Cell: 5.591 5.591 5.591 Å, 60.00 60.00 60.00°
Positions (direct):
Ca 0.000 0.000 0.000
Sm 0.250 0.250 0.250
Sm 0.750 0.750 0.750
Tl 0.500 0.500 0.500


| no. | size of the total moment (μB/cell) |
| --- | --- |
| 1 | 0.0 |
| 2 | 0.0 |
| 3 | 0.0 |
| 4 | 0.0 |